DFT (PBE-GGA) results for an optimized crystal structure of HgGeP2O.

Lattice parameters (Å, degrees): 5.0551 5.0551 4.0827 90.00 90.00 90.00
Fractional coordinates of all 5 atoms:
P: 0.0000 0.5000 0.0000
P: 0.5000 0.0000 0.0000
Hg: 0.0000 0.0000 0.0000
Ge: 0.5000 0.5000 0.5000
O: 0.0000 0.0000 0.5000

Summary:
**Formation energy without anion corrections**: 1.05 eV per atom
**Symmetry**: P4/mmm, No. 123
**ρ**: 5.59 Mg/m³
**M_tot**: 0.00 μB per formula unit